[1]
A plane-wave DFT calculation with PBE was carried out for crystalline LiLaAlPt3 at its relaxed geometry.

## Properties
Magnetic moment, μB per atom: 0.000
Crystal system: orthorhombic
ΔE_f, eV per formula unit: -4.6
Calculated total energy, eV per atom: -5.552

a = 6.680 Å, b = 6.680 Å, c = 5.825 Å
α = 90.00°, β = 90.00°, γ = 120.48°
Positions (direct):
Li1 0.050 0.950 0.750
Li2 0.950 0.050 0.250
La1 0.292 0.708 0.750
La2 0.708 0.292 0.250
Al1 0.379 0.621 0.250
Al2 0.621 0.379 0.750
Pt1 0.171 0.829 0.250
Pt2 0.276 0.276 0.000
Pt3 0.276 0.276 0.500
Pt4 0.724 0.724 0.000
Pt5 0.724 0.724 0.500
Pt6 0.829 0.171 0.750

[2]
A plane-wave DFT calculation with PBE was carried out for crystalline TbCe2NdBi5 at its relaxed geometry.

## Properties
Magnetic moment, μB per atom: 0.234
Crystal system: tetragonal
ΔE_f, eV per formula unit: 0.0
Calculated total energy, eV per atom: -4.521

a = 5.592 Å, b = 5.592 Å, c = 11.941 Å
α = 90.00°, β = 90.00°, γ = 90.00°
Positions (direct):
Tb1 0.000 0.000 0.000
Ce1 0.500 0.500 0.283
Ce2 0.500 0.500 0.717
Nd1 0.000 0.000 0.500
Bi1 0.000 0.000 0.244
Bi2 0.000 0.000 0.756
Bi3 0.000 0.500 0.500
Bi4 0.500 0.000 0.500
Bi5 0.500 0.500 0.000

[3]
A plane-wave DFT calculation with PBE was carried out for crystalline Cd2InSbTe at its relaxed geometry.

## Properties
Magnetic moment, μB per atom: 0.000
Crystal system: tetragonal
Calculated total energy, eV per atom: -1.975
Formation energy without anion corrections, eV/f.u.: 1.96

a = 5.324 Å, b = 5.324 Å, c = 5.892 Å
α = 90.00°, β = 90.00°, γ = 90.00°
Positions (direct):
Cd1 0.000 0.500 0.000
Cd2 0.500 0.000 0.000
In1 0.000 0.000 0.000
Sb1 0.000 0.000 0.500
Te1 0.500 0.500 0.500

[4]
A plane-wave DFT calculation with PBE was carried out for crystalline Th5Hg2Ge2 at its relaxed geometry.

## Properties
Magnetic moment, μB per atom: 0.000
Crystal system: orthorhombic
ΔE_f, eV per formula unit: -3.9
Calculated total energy, eV per atom: -5.652

a = 8.990 Å, b = 8.990 Å, c = 7.971 Å
α = 90.00°, β = 90.00°, γ = 51.71°
Positions (direct):
Th1 0.000 0.000 0.000
Th2 0.060 0.686 0.678
Th3 0.186 0.560 0.178
Th4 0.314 0.940 0.678
Th5 0.440 0.814 0.178
Th6 0.500 0.500 0.500
Th7 0.560 0.186 0.822
Th8 0.686 0.060 0.322
Th9 0.814 0.440 0.822
Th10 0.940 0.314 0.322
Hg1 0.219 0.219 0.000
Hg2 0.281 0.281 0.500
Hg3 0.719 0.719 0.500
Hg4 0.781 0.781 0.000
Ge1 0.117 0.883 0.380
Ge2 0.383 0.617 0.880
Ge3 0.617 0.383 0.120
Ge4 0.883 0.117 0.620

[5]
A plane-wave DFT calculation with PBE was carried out for crystalline Mn2AgB at its relaxed geometry.

## Properties
Magnetic moment, μB per atom: 0.000
Crystal system: tetragonal
ΔE_f, eV per formula unit: 3.8
Calculated total energy, eV per atom: -6.014

a = 8.555 Å, b = 8.555 Å, c = 8.555 Å
α = 156.38°, β = 156.38°, γ = 33.65°
Positions (direct):
Mn1 0.033 0.625 0.908
Mn2 0.375 0.283 0.408
Mn3 0.717 0.125 0.092
Mn4 0.875 0.967 0.592
Ag1 0.250 0.750 0.500
Ag2 0.500 0.500 0.000
B1 0.000 0.000 0.000
B2 0.750 0.250 0.500

[6]
A plane-wave DFT calculation with PBE was carried out for crystalline TmMg4Ag at its relaxed geometry.

## Properties
Magnetic moment, μB per atom: 0.000
Crystal system: tetragonal
ΔE_f, eV per formula unit: -0.7
Calculated total energy, eV per atom: -2.393

a = 3.403 Å, b = 3.403 Å, c = 11.680 Å
α = 90.00°, β = 90.00°, γ = 90.00°
Positions (direct):
Tm1 0.000 0.000 0.000
Mg1 0.000 0.000 0.365
Mg2 0.000 0.000 0.635
Mg3 0.500 0.500 0.194
Mg4 0.500 0.500 0.806
Ag1 0.500 0.500 0.500

[7]
A plane-wave DFT calculation with PBE was carried out for crystalline ZrCrTc2 at its relaxed geometry.

## Properties
Magnetic moment, μB per atom: 0.065
Crystal system: tetragonal
ΔE_f, eV per formula unit: -0.1
Calculated total energy, eV per atom: -9.757

a = 4.433 Å, b = 4.433 Å, c = 3.163 Å
α = 90.00°, β = 90.00°, γ = 90.00°
Positions (direct):
Zr1 0.000 0.000 0.000
Cr1 0.500 0.500 0.000
Tc1 0.000 0.500 0.500
Tc2 0.500 0.000 0.500

[8]
A plane-wave DFT calculation with PBE was carried out for crystalline BaF8 at its relaxed geometry.

## Properties
Magnetic moment, μB per atom: 0.222
Crystal system: tetragonal
Calculated total energy, eV per atom: -2.908
Formation energy without anion corrections, eV/f.u.: -9.28

a = 6.438 Å, b = 6.438 Å, c = 6.438 Å
α = 97.19°, β = 97.19°, γ = 138.56°
Positions (direct):
Ba1 0.000 0.000 0.000
F1 0.000 0.416 0.416
F2 0.000 0.584 0.584
F3 0.364 0.364 0.728
F4 0.364 0.636 0.000
F5 0.416 0.000 0.416
F6 0.584 0.000 0.584
F7 0.636 0.364 0.000
F8 0.636 0.636 0.272

[9]
A plane-wave DFT calculation with PBE was carried out for crystalline Ho4In2Hg at its relaxed geometry.

## Properties
Magnetic moment, μB per atom: 0.000
Crystal system: trigonal
ΔE_f, eV per formula unit: -2.2
Calculated total energy, eV per atom: -3.752

a = 9.008 Å, b = 9.008 Å, c = 9.008 Å
α = 33.73°, β = 33.73°, γ = 33.73°
Positions (direct):
Ho1 0.121 0.121 0.121
Ho2 0.373 0.373 0.373
Ho3 0.627 0.627 0.627
Ho4 0.879 0.879 0.879
In1 0.251 0.251 0.251
In2 0.749 0.749 0.749
Hg1 0.500 0.500 0.500

[10]
A plane-wave DFT calculation with PBE was carried out for crystalline Tm2AlPt at its relaxed geometry.

## Properties
Magnetic moment, μB per atom: 0.000
Crystal system: tetragonal
ΔE_f, eV per formula unit: -3.4
Calculated total energy, eV per atom: -5.529

a = 3.536 Å, b = 3.536 Å, c = 6.866 Å
α = 90.00°, β = 90.00°, γ = 90.00°
Positions (direct):
Tm1 0.000 0.000 0.237
Tm2 0.000 0.000 0.763
Al1 0.500 0.500 0.500
Pt1 0.500 0.500 0.000

[11]
A plane-wave DFT calculation with PBE was carried out for crystalline PmNbSi2Os at its relaxed geometry.

## Properties
Magnetic moment, μB per atom: 0.000
Crystal system: tetragonal
Calculated total energy, eV per atom: -7.989
Formation energy without anion corrections, eV/f.u.: -3.05

a = 6.226 Å, b = 6.226 Å, c = 6.226 Å
α = 141.86°, β = 141.86°, γ = 55.04°
Positions (direct):
Pm1 0.000 0.000 0.000
Nb1 0.250 0.750 0.500
Si1 0.389 0.389 0.000
Si2 0.611 0.611 0.000
Os1 0.750 0.250 0.500

[12]
A plane-wave DFT calculation with PBE was carried out for crystalline VCrPBr at its relaxed geometry.

## Properties
Magnetic moment, μB per atom: 0.144
Crystal system: trigonal
Calculated total energy, eV per atom: -6.678
Formation energy without anion corrections, eV/f.u.: -0.89

a = 6.972 Å, b = 6.972 Å, c = 6.972 Å
α = 30.59°, β = 30.59°, γ = 30.59°
Positions (direct):
V1 0.000 0.000 0.000
Cr1 0.114 0.114 0.114
P1 0.733 0.733 0.733
Br1 0.248 0.248 0.248

[13]
A plane-wave DFT calculation with PBE was carried out for crystalline InFeP2 at its relaxed geometry.

## Properties
Magnetic moment, μB per atom: 0.000
Crystal system: tetragonal
ΔE_f, eV per formula unit: -0.1
Calculated total energy, eV per atom: -5.523

a = 6.618 Å, b = 6.618 Å, c = 6.618 Å
α = 130.67°, β = 130.67°, γ = 72.35°
Positions (direct):
In1 0.000 0.000 0.000
In2 0.750 0.250 0.500
Fe1 0.250 0.750 0.500
Fe2 0.500 0.500 0.000
P1 0.203 0.625 0.078
P2 0.375 0.453 0.578
P3 0.547 0.125 0.922
P4 0.875 0.797 0.422

[14]
A plane-wave DFT calculation with PBE was carried out for crystalline LaTbSn at its relaxed geometry.

## Properties
Magnetic moment, μB per atom: 0.000
Crystal system: orthorhombic
ΔE_f, eV per formula unit: -1.8
Calculated total energy, eV per atom: -5.110

a = 8.577 Å, b = 8.577 Å, c = 4.933 Å
α = 90.00°, β = 90.00°, γ = 149.88°
Positions (direct):
La1 0.070 0.930 0.750
La2 0.930 0.070 0.250
Tb1 0.254 0.746 0.250
Tb2 0.746 0.254 0.750
Sn1 0.389 0.611 0.750
Sn2 0.611 0.389 0.250

[15]
A plane-wave DFT calculation with PBE was carried out for crystalline V2SbTe at its relaxed geometry.

## Properties
Magnetic moment, μB per atom: 1.250
Crystal system: tetragonal
Calculated total energy, eV per atom: -6.047
Formation energy without anion corrections, eV/f.u.: 1.31

a = 7.564 Å, b = 7.564 Å, c = 7.564 Å
α = 131.38°, β = 131.38°, γ = 71.21°
Positions (direct):
V1 0.123 0.625 0.998
V2 0.375 0.373 0.498
V3 0.627 0.125 0.002
V4 0.875 0.877 0.502
Sb1 0.000 0.000 0.000
Sb2 0.750 0.250 0.500
Te1 0.250 0.750 0.500
Te2 0.500 0.500 0.000

[16]
A plane-wave DFT calculation with PBE was carried out for crystalline Rb3Cu2Cl4 at its relaxed geometry.

## Properties
Magnetic moment, μB per atom: 0.106
Crystal system: monoclinic
Calculated total energy, eV per atom: -3.215
Formation energy without anion corrections, eV/f.u.: -10.46

a = 8.768 Å, b = 8.768 Å, c = 8.708 Å
α = 94.61°, β = 94.61°, γ = 62.32°
Positions (direct):
Rb1 0.028 0.972 0.750
Rb2 0.266 0.426 0.332
Rb3 0.426 0.266 0.832
Rb4 0.574 0.734 0.168
Rb5 0.734 0.574 0.668
Rb6 0.972 0.028 0.250
Cu1 0.001 0.362 0.011
Cu2 0.362 0.001 0.511
Cu3 0.638 0.999 0.489
Cu4 0.999 0.638 0.989
Cl1 0.122 0.248 0.571
Cl2 0.247 0.660 0.016
Cl3 0.248 0.122 0.071
Cl4 0.340 0.753 0.484
Cl5 0.660 0.247 0.516
Cl6 0.752 0.878 0.929
Cl7 0.753 0.340 0.984
Cl8 0.878 0.752 0.429

[17]
A plane-wave DFT calculation with PBE was carried out for crystalline CsK2NaHg at its relaxed geometry.

## Properties
Magnetic moment, μB per atom: 0.000
Crystal system: tetragonal
ΔE_f, eV per formula unit: -0.1
Calculated total energy, eV per atom: -0.949

a = 6.779 Å, b = 6.779 Å, c = 7.226 Å
α = 90.00°, β = 90.00°, γ = 90.00°
Positions (direct):
Cs1 0.000 0.000 0.000
K1 0.000 0.500 0.500
K2 0.500 0.000 0.500
Na1 0.500 0.500 0.000
Hg1 0.000 0.000 0.500

[18]
A plane-wave DFT calculation with PBE was carried out for crystalline PRuSeN at its relaxed geometry.

## Properties
Magnetic moment, μB per atom: 0.000
Crystal system: monoclinic
Calculated total energy, eV per atom: -6.652
Formation energy without anion corrections, eV/f.u.: -0.11

a = 7.601 Å, b = 7.601 Å, c = 2.817 Å
α = 100.33°, β = 100.33°, γ = 22.89°
Positions (direct):
P1 0.000 0.000 0.000
Ru1 0.368 0.368 0.873
Se1 0.770 0.770 0.277
N1 0.059 0.059 0.557

[19]
A plane-wave DFT calculation with PBE was carried out for crystalline FeH3S at its relaxed geometry.

## Properties
Magnetic moment, μB per atom: 0.203
Crystal system: cubic
Calculated total energy, eV per atom: -3.803

a = 3.314 Å, b = 3.314 Å, c = 3.314 Å
α = 90.00°, β = 90.00°, γ = 90.00°
Positions (direct):
Fe1 0.000 0.000 0.000
H1 0.000 0.000 0.500
H2 0.000 0.500 0.000
H3 0.500 0.000 0.000
S1 0.500 0.500 0.500

[20]
A plane-wave DFT calculation with PBE was carried out for crystalline Ba2ReRu at its relaxed geometry.

## Properties
Magnetic moment, μB per atom: 0.000
Crystal system: tetragonal
ΔE_f, eV per formula unit: 2.5
Calculated total energy, eV per atom: -5.769

a = 3.560 Å, b = 3.560 Å, c = 9.824 Å
α = 90.00°, β = 90.00°, γ = 90.00°
Positions (direct):
Ba1 0.000 0.000 0.000
Ba2 0.500 0.500 0.415
Re1 0.000 0.000 0.687
Ru1 0.500 0.500 0.728

[21]
A plane-wave DFT calculation with PBE was carried out for crystalline K2NaGa at its relaxed geometry.

## Properties
Magnetic moment, μB per atom: 0.000
Crystal system: tetragonal
ΔE_f, eV per formula unit: 0.6
Calculated total energy, eV per atom: -1.494

a = 5.711 Å, b = 5.711 Å, c = 5.033 Å
α = 90.00°, β = 90.00°, γ = 90.00°
Positions (direct):
K1 0.000 0.500 0.000
K2 0.500 0.000 0.000
Na1 0.000 0.000 0.500
Ga1 0.500 0.500 0.500

[22]
A plane-wave DFT calculation with PBE was carried out for crystalline LaThAs2Rh5 at its relaxed geometry.

## Properties
Magnetic moment, μB per atom: 0.000
Crystal system: tetragonal
ΔE_f, eV per formula unit: -6.4
Calculated total energy, eV per atom: -7.203

a = 4.106 Å, b = 4.106 Å, c = 11.361 Å
α = 90.00°, β = 90.00°, γ = 90.00°
Positions (direct):
La1 0.000 0.000 0.000
Th1 0.000 0.000 0.500
As1 0.500 0.500 0.211
As2 0.500 0.500 0.789
Rh1 0.000 0.500 0.319
Rh2 0.000 0.500 0.681
Rh3 0.500 0.000 0.319
Rh4 0.500 0.000 0.681
Rh5 0.500 0.500 0.000

[23]
A plane-wave DFT calculation with PBE was carried out for crystalline SbSI at its relaxed geometry.

## Properties
Magnetic moment, μB per atom: 0.000
Crystal system: orthorhombic
Calculated total energy, eV per atom: -3.573
Formation energy without anion corrections, eV/f.u.: -0.92

a = 10.835 Å, b = 4.136 Å, c = 9.766 Å
α = 90.00°, β = 90.00°, γ = 90.00°
Positions (direct):
Sb1 0.133 0.250 0.070
Sb2 0.367 0.750 0.570
Sb3 0.633 0.250 0.430
Sb4 0.867 0.750 0.930
S1 0.014 0.250 0.850
S2 0.486 0.750 0.350
S3 0.514 0.250 0.650
S4 0.986 0.750 0.150
I1 0.186 0.250 0.435
I2 0.314 0.750 0.935
I3 0.686 0.250 0.065
I4 0.814 0.750 0.565

[24]
A plane-wave DFT calculation with PBE was carried out for crystalline BaIr2Pb at its relaxed geometry.

## Properties
Magnetic moment, μB per atom: 0.000
Crystal system: trigonal
ΔE_f, eV per formula unit: 0.3
Calculated total energy, eV per atom: -5.757

a = 6.314 Å, b = 6.314 Å, c = 6.314 Å
α = 43.92°, β = 43.92°, γ = 43.92°
Positions (direct):
Ba1 0.000 0.000 0.000
Ir1 0.185 0.185 0.185
Ir2 0.815 0.815 0.815
Pb1 0.500 0.500 0.500

[25]
A plane-wave DFT calculation with PBE was carried out for crystalline Nd2TmCo at its relaxed geometry.

## Properties
Magnetic moment, μB per atom: 0.000
Crystal system: trigonal
ΔE_f, eV per formula unit: 1.0
Calculated total energy, eV per atom: -5.027

a = 10.653 Å, b = 10.653 Å, c = 10.653 Å
α = 19.66°, β = 19.66°, γ = 19.66°
Positions (direct):
Nd1 0.111 0.111 0.111
Nd2 0.889 0.889 0.889
Tm1 0.000 0.000 0.000
Co1 0.500 0.500 0.500